Entry 1:
A relaxed structure of As2RhSe. Source: Alexandria via LeMat-Bulk, functional PBE.

The size of the total moment is 0.00 μB per cell. The calculation puts the raw formation energy at 0.03 eV per atom.

a b c (Å): 3.5929 3.9643 11.2223
angles (deg): 90.00 90.00 90.00
Closest atoms and distances in Å follow each position.
Space group Imm2 (No. 44)
One atom of each set of equivalent atoms:
As 0.0000 0.0000 0.0000 [2 per cell]  2 Rh 2.62, 2 As 2.62
As 0.0000 0.5000 0.1525 [2 per cell]  2 As 2.62, 4 Rh 2.68, 2 Se 2.84
Rh 0.0000 0.5000 0.6693 [2 per cell]  2 Se 2.57, 6 As 2.62-2.68
Se 0.0000 0.0000 0.3336 [2 per cell]  2 Rh 2.57, 2 As 2.84

Entry 2:
A relaxed structure of TmCd2Pd8. Source: Alexandria via LeMat-Bulk, functional PBE.

The size of the total moment is 0.00 μB per cell. As for the excess energy over the best structure of this formula in the dataset: 0.0000 eV per atom. The formation energy comes out at -0.49 eV per atom.

a b c (Å): 14.5131 4.1404 6.3890
angles (deg): 90.00 105.49 90.00
Closest atoms and distances in Å follow each position.
Space group C2/m (No. 12)
One atom of each set of equivalent atoms:
Tm 0.0000 0.0000 0.0000 [2 per cell]  12 Pd 2.83-2.90
Cd 0.2248 0.5000 0.6473 [4 per cell]  10 Pd 2.79-2.93, 2 Cd 3.02
Pd 0.0419 0.5000 0.7224 [4 per cell]  9 Pd 2.78-2.92, 1 Cd 2.82, 2 Tm 2.89
Pd 0.0911 0.0000 0.4594 [4 per cell]  8 Pd 2.83-2.92, 3 Cd 2.87-2.93, 1 Tm 2.88
Pd 0.1376 0.5000 0.1824 [4 per cell]  7 Pd 2.83-2.92, 3 Cd 2.88-2.90, 2 Tm 2.90
Pd 0.1807 0.0000 0.9112 [4 per cell]  3 Cd 2.79-2.85, 1 Tm 2.83, 8 Pd 2.83-2.92

Entry 3:
A relaxed structure of Ti6Bi2As. Source: Alexandria via LeMat-Bulk, functional PBE.

The size of the total moment is 0.00 μB per cell. The formation energy comes out at -0.38 eV per atom.

a b c (Å): 7.3291 7.3291 3.6586
angles (deg): 90.00 90.00 120.00
Closest atoms and distances in Å follow each position.
Space group P-62m (No. 189)
One atom of each set of equivalent atoms:
Ti 0.0000 0.2396 0.0000 [3 per cell]  2 As 2.54
Ti 0.0000 0.6332 0.5000 [3 per cell]  1 As 2.69, 4 Bi 2.96, 4 Ti 2.99
Bi 0.3333 0.6667 0.0000 [2 per cell]  9 Ti 2.85-2.96
As 0.0000 0.0000 0.5000 [1 per cell]  9 Ti 2.54-2.69

Entry 4:
A relaxed structure of ErScTe. Source: Alexandria via LeMat-Bulk, functional PBE.

The size of the total moment is 0.00 μB per cell. The calculation puts the raw formation energy at -0.46 eV per atom. As for the excess energy over the best structure of this formula in the dataset: 0.3785 eV per atom.

a b c (Å): 4.9379 4.9379 3.8414
angles (deg): 90.00 90.00 120.00
Closest atoms and distances in Å follow each position.
Space group P3m1 (No. 156)
One atom of each set of equivalent atoms:
Er 0.0000 0.0000 0.0000 [1 per cell]  3 Te 3.19, 6 Sc 3.43-3.44
Sc 0.3333 0.6667 0.5033 [1 per cell]  3 Te 2.89
Te 0.6667 0.3333 0.6269 [1 per cell]  3 Sc 2.89, 3 Er 3.19

Entry 5:
A relaxed structure of PmW2N6. Source: Alexandria via LeMat-Bulk, functional PBE.

The size of the total moment is 0.00 μB per cell. The calculation puts the raw formation energy at 0.43 eV per atom.

a b c (Å): 9.9772 9.9772 9.9772
angles (deg): 90.00 90.00 90.00
Closest atoms and distances in Å follow each position.
Space group Fd-3m (No. 227, origin choice 2)
One atom of each set of equivalent atoms:
Pm 0.1250 0.1250 0.1250 [8 per cell]  6 N 2.80
W 0.0000 0.0000 0.5000 [16 per cell]  6 N 2.00
N 0.0940 0.3750 0.8750 [48 per cell]  2 W 2.00

Entry 6:
A relaxed structure of HoPtRhAu. Source: Alexandria via LeMat-Bulk, functional PBE.

The size of the total moment is 0.00 μB per cell. As for the excess energy over the best structure of this formula in the dataset: 0.0000 eV per atom. The formation energy comes out at -0.80 eV per atom.

a b c (Å): 3.9943 4.1753 4.2369
angles (deg): 90.00 90.00 90.00
Closest atoms and distances in Å follow each position.
Space group Pmmm (No. 47)
One atom of each set of equivalent atoms:
Ho 0.0000 0.0000 0.0000 [1 per cell]  4 Rh 2.89, 4 Pt 2.91, 4 Au 2.97
Pt 0.5000 0.0000 0.5000 [1 per cell]  4 Au 2.89, 4 Ho 2.91, 4 Rh 2.97
Rh 0.5000 0.5000 0.0000 [1 per cell]  4 Ho 2.89, 4 Au 2.91, 4 Pt 2.97
Au 0.0000 0.5000 0.5000 [1 per cell]  4 Pt 2.89, 4 Rh 2.91, 4 Ho 2.97

Entry 7:
A relaxed structure of Zr8Ga2Re. Source: Alexandria via LeMat-Bulk, functional PBE.

The size of the total moment is 0.00 μB per cell. The formation energy comes out at -0.22 eV per atom.

a b c (Å): 15.6804 4.9359 6.6029
angles (deg): 90.00 114.87 90.00
Closest atoms and distances in Å follow each position.
Space group C2/m (No. 12)
One atom of each set of equivalent atoms:
Zr 0.0002 0.0000 0.2414 [4 per cell]  2 Re 3.00, 7 Zr 3.03-3.19, 2 Ga 3.10
Zr 0.1401 0.5000 0.3725 [4 per cell]  1 Re 2.66, 2 Ga 2.98
Zr 0.1395 0.5000 0.9083 [4 per cell]  1 Re 2.66, 2 Ga 2.98
Zr 0.1762 0.0000 0.6774 [4 per cell]  8 Zr 3.03-3.08, 4 Ga 3.14-3.31
Ga 0.1869 0.0000 0.1867 [4 per cell]  12 Zr 2.98-3.31
Re 0.0000 0.5000 0.5000 [2 per cell]  4 Zr 2.66

Entry 8:
A relaxed structure of MnTc2PN. Source: Alexandria via LeMat-Bulk, functional PBE.

The size of the total moment is 0.52 μB per cell. The calculation puts the raw formation energy at 1.27 eV per atom.

a b c (Å): 4.5714 4.5714 3.2668
angles (deg): 90.00 90.00 90.00
Closest atoms and distances in Å follow each position.
Space group P4/mmm (No. 123)
One atom of each set of equivalent atoms:
Mn 0.0000 0.0000 0.0000 [1 per cell]  8 Tc 2.81
Tc 0.0000 0.5000 0.5000 [2 per cell]  2 P 2.29
P 0.5000 0.5000 0.5000 [1 per cell]  2 N 1.63
N 0.5000 0.5000 0.0000 [1 per cell]  2 P 1.63

Entry 9:
A relaxed structure of Er5Tl2Zn2. Source: Alexandria via LeMat-Bulk, functional PBE.

The size of the total moment is 0.00 μB per cell. The formation energy comes out at -0.26 eV per atom.

a b c (Å): 16.7408 7.5101 7.4668
angles (deg): 90.00 90.00 90.00
Closest atoms and distances in Å follow each position.
Space group Cmce (No. 64)
One atom of each set of equivalent atoms:
Er 0.0000 0.0000 0.0000 [4 per cell]  4 Zn 2.98-3.00
Er 0.1283 0.1858 0.3218 [16 per cell]  3 Zn 3.01-3.17, 3 Tl 3.11-3.22
Tl 0.2260 0.0000 0.0000 [8 per cell]  6 Er 3.11-3.22
Zn 0.0000 0.1186 0.6198 [8 per cell]  1 Zn 2.53

Entry 10:
A relaxed structure of IrRu2SeN. Source: Alexandria via LeMat-Bulk, functional PBE.

The size of the total moment is 3.58 μB per cell. The calculation puts the raw formation energy at 1.81 eV per atom.

a b c (Å): 4.6665 4.6665 3.6514
angles (deg): 90.00 90.00 90.00
Closest atoms and distances in Å follow each position.
Space group P4/mmm (No. 123)
One atom of each set of equivalent atoms:
Ir 0.0000 0.0000 0.0000 [1 per cell]  8 Ru 2.96, 4 N 3.30
Ru 0.0000 0.5000 0.5000 [2 per cell]  2 Se 2.33
Se 0.5000 0.5000 0.5000 [1 per cell]  2 N 1.83
N 0.5000 0.5000 0.0000 [1 per cell]  2 Se 1.83

Entry 11:
A relaxed structure of Sr4ZnCd3. Source: Alexandria via LeMat-Bulk, functional PBE.

The size of the total moment is 0.00 μB per cell. As for the excess energy over the best structure of this formula in the dataset: 0.0000 eV per atom. The formation energy comes out at -0.29 eV per atom.

a b c (Å): 3.9721 3.9721 16.4572
angles (deg): 90.00 90.00 90.00
Closest atoms and distances in Å follow each position.
Space group P4/mmm (No. 123)
One atom of each set of equivalent atoms:
Sr 0.0000 0.0000 0.1177 [2 per cell]  4 Zn 3.41, 4 Cd 3.51
Sr 0.0000 0.0000 0.3725 [2 per cell]  8 Cd 3.50-3.51
Zn 0.5000 0.5000 0.0000 [1 per cell]  8 Sr 3.41
Cd 0.5000 0.5000 0.2457 [2 per cell]  8 Sr 3.50-3.51
Cd 0.5000 0.5000 0.5000 [1 per cell]  8 Sr 3.51

Entry 12:
A relaxed structure of Ca2YOs. Source: Alexandria via LeMat-Bulk, functional PBE.

The size of the total moment is 0.01 μB per cell. As for the excess energy over the best structure of this formula in the dataset: 0.3616 eV per atom. The formation energy comes out at 0.45 eV per atom.

a b c (Å): 3.3553 3.3553 9.8674
angles (deg): 90.00 90.00 90.00
Closest atoms and distances in Å follow each position.
Space group P4/mmm (No. 123)
One atom of each set of equivalent atoms:
Ca 0.0000 0.0000 0.1782 [2 per cell]  4 Os 2.95
Y 0.5000 0.5000 0.5000 [1 per cell]  4 Y 3.36
Os 0.5000 0.5000 0.0000 [1 per cell]  8 Ca 2.95

Quick rundown of theoretical density, same order as above: 6.89; 11.18; 7.61; 6.96; 7.98; 15.51; 7.56; 7.20; 9.73; 10.18; 4.82; 5.37 g cm⁻³
Quick rundown of calculated total energy, same order as above: -40.002; -106.513; -63.159; -15.411; -613.924; -24.456; -178.697; -37.271; -129.649; -30.151; -13.050; -19.905 eV for the cell shown